No. 1
Computed, not measured: crystalline TiIr3I at its relaxed geometry at the GGA-PBE level of DFT.

Cell lengths 4.688, 4.688, 4.688 Å; angles 90.00, 90.00, 90.00 degrees
Fractional positions:
1 Ti 0.000 0.000 0.000
2 Ir 0.000 0.000 0.500
3 Ir 0.000 0.500 0.000
4 Ir 0.500 0.000 0.000
5 I 0.500 0.500 0.500

Polymorph energy (0 for the lowest one), meV per atom: 0.0
ΔE_f (raw), meV per atom: 1349
Symmetry: Pm-3m, No. 221

=====

No. 2
Computed, not measured: crystalline Ac12Te2Pb5 at its relaxed geometry at the GGA-PBE level of DFT.

Cell lengths 10.558, 10.558, 10.491 Å; angles 103.07, 103.07, 48.14 degrees
Fractional positions:
1 Ac 0.006 0.006 0.275
2 Ac 0.084 0.575 0.899
3 Ac 0.105 0.604 0.435
4 Ac 0.396 0.895 0.565
5 Ac 0.425 0.916 0.101
6 Ac 0.489 0.489 0.187
7 Ac 0.511 0.511 0.813
8 Ac 0.575 0.084 0.899
9 Ac 0.604 0.105 0.435
10 Ac 0.895 0.396 0.565
11 Ac 0.916 0.425 0.101
12 Ac 0.994 0.994 0.725
13 Te 0.206 0.794 0.000
14 Te 0.794 0.206 0.000
15 Pb 0.179 0.179 0.841
16 Pb 0.204 0.204 0.359
17 Pb 0.500 0.500 0.500
18 Pb 0.796 0.796 0.641
19 Pb 0.821 0.821 0.159

ΔE_f (raw), meV per atom: -444
Symmetry: C2/m, No. 12

=====

No. 3
Computed, not measured: crystalline LiCa2Pd2 at its relaxed geometry at the GGA-PBE level of DFT.

Cell lengths 5.626, 5.626, 5.626 Å; angles 120.45, 120.45, 89.23 degrees
Fractional positions:
1 Li 0.000 0.000 0.000
2 Ca 0.250 0.750 0.500
3 Ca 0.750 0.250 0.500
4 Pd 0.335 0.335 0.000
5 Pd 0.665 0.665 0.000

DFT formation energy, eV per formula unit: -1.81
Polymorph energy (0 for the lowest one), meV per atom: 238.6
Symmetry: I4/mmm, No. 139

=====

No. 4
Computed, not measured: crystalline PmCu6P2 at its relaxed geometry at the GGA-PBE level of DFT.

Cell lengths 3.820, 3.820, 8.819 Å; angles 90.00, 90.00, 90.00 degrees
Fractional positions:
1 Pm 0.000 0.000 0.000
2 Cu 0.000 0.000 0.500
3 Cu 0.000 0.500 0.304
4 Cu 0.000 0.500 0.696
5 Cu 0.500 0.000 0.304
6 Cu 0.500 0.000 0.696
7 Cu 0.500 0.500 0.500
8 P 0.500 0.500 0.149
9 P 0.500 0.500 0.851

DFT formation energy, eV per formula unit: -3.42
Symmetry: P4/mmm, No. 123

=====

No. 5
Computed, not measured: crystalline PrNd2Dy5Sc at its relaxed geometry at the GGA-PBE level of DFT.

Cell lengths 10.294, 10.294, 10.491 Å; angles 90.00, 90.00, 148.32 degrees
Fractional positions:
1 Pr 0.087 0.913 0.500
2 Pr 0.913 0.087 0.000
3 Nd 0.385 0.615 0.775
4 Nd 0.387 0.613 0.357
5 Nd 0.613 0.387 0.857
6 Nd 0.615 0.385 0.275
7 Dy 0.018 0.982 0.782
8 Dy 0.126 0.874 0.061
9 Dy 0.204 0.796 0.746
10 Dy 0.223 0.777 0.365
11 Dy 0.483 0.517 0.062
12 Dy 0.517 0.483 0.562
13 Dy 0.777 0.223 0.865
14 Dy 0.796 0.204 0.246
15 Dy 0.874 0.126 0.561
16 Dy 0.982 0.018 0.282
17 Sc 0.303 0.697 0.056
18 Sc 0.697 0.303 0.556

DFT formation energy, eV per formula unit: 1.44
Symmetry: Cmc2_1, No. 36

=====

No. 6
Computed, not measured: crystalline Sr2SnTeO6 at its relaxed geometry at the GGA-PBE level of DFT.

Cell lengths 5.734, 5.734, 4.891 Å; angles 90.00, 90.00, 90.00 degrees
Fractional positions:
1 Sr 0.000 0.500 0.000
2 Sr 0.500 0.000 0.000
3 Sn 0.000 0.000 0.448
4 Te 0.500 0.500 0.388
5 O 0.000 0.000 0.853
6 O 0.243 0.243 0.330
7 O 0.243 0.757 0.330
8 O 0.500 0.500 0.993
9 O 0.757 0.243 0.330
10 O 0.757 0.757 0.330

ΔE_f (raw), meV per atom: -1939
Symmetry: P4mm, No. 99

=====

Quick rundown of E_tot, same order as above: -5.856; -4.345; -3.623; -4.841; -4.690; -5.965 eV per atom